#i
## UBeRu2 (PBE)

Data for a geometry-optimized UBeRu2 structure.

Cell: 3.5459 4.1259 4.1259 Å, 90.00 90.00 90.00°
Last column: nearest neighbours and their distance in Å.
Positions (direct):
Ru 0.0000 0.0000 0.5000  4 Be 2.72, 4 U 2.72, 4 Ru 2.92
Ru 0.0000 0.5000 0.0000  4 Be 2.72, 4 U 2.72, 4 Ru 2.92
U 0.5000 0.5000 0.5000  8 Ru 2.72, 4 Be 2.92
Be 0.5000 0.0000 0.0000  8 Ru 2.72, 4 U 2.92

The density of states at the Fermi level comes out at 2.1 states/eV/cell.

---

#ii
## UBeRu2 (PBE)

Data for a geometry-optimized UBeRu2 structure.

Cell: 4.4571 4.4571 4.4571 Å, 60.00 60.00 60.00°
Last column: nearest neighbours and their distance in Å.
Positions (direct):
Ru 0.2500 0.2500 0.2500  4 Be 2.73, 4 U 2.73
Ru 0.7500 0.7500 0.7500  4 U 2.73, 4 Be 2.73
U 0.0000 0.0000 0.0000  8 Ru 2.73
Be 0.5000 0.5000 0.5000  8 Ru 2.73

The density of states at the Fermi level comes out at 6.1 states/eV/cell.

---

Out of the structures above, which one is the most stable? Solution: #i.